# 1
Compound: LiSiMo
Source: Alexandria via LeMat-Bulk
Functional: GGA-PBE
Structure: relaxed

The structure in extended XYZ format:
```
6
Lattice="3.1454 0.0000 0.0000 0.0000 3.1454 0.0000 0.0000 0.0000 8.9254" Properties=species:S:1:pos:R:3 pbc="T T T"
Li 0.7863 0.7863 0.8081
Li 2.3590 2.3590 8.1173
Si 0.7863 0.7863 6.6448
Si 2.3590 2.3590 2.2805
Mo 0.7863 0.7863 3.7108
Mo 2.3590 2.3590 5.2145
```

- Electronic total energy: -6.236 eV per atom
- Polymorph energy (0 for the lowest one): 0.00 eV per formula unit

=====

# 2
Compound: Np2Sb2H
Source: Alexandria via LeMat-Bulk
Functional: GGA-PBE
Structure: relaxed

The structure in extended XYZ format:
```
10
Lattice="-2.1822 2.1822 11.5133 2.1822 -2.1822 11.5133 2.1822 2.1822 -11.5133" Properties=species:S:1:pos:R:3 pbc="T T T"
Np 2.1822 1.0911 -4.2047
Np 0.0000 1.0911 1.5519
Np 2.1822 1.0911 9.9614
Np 0.0000 1.0911 15.7180
Sb 2.1822 1.0911 -1.1105
Sb 0.0000 1.0911 4.6461
Sb 2.1822 1.0911 6.8672
Sb 0.0000 1.0911 12.6238
H 2.1822 1.0911 2.8783
H 0.0000 1.0911 8.6349
```

- Electronic total energy: -7.563 eV per atom
- Polymorph energy (0 for the lowest one): 0.81 eV per formula unit

=====

# 3
Compound: AcPm2Co6
Source: Alexandria via LeMat-Bulk
Functional: GGA-PBE
Structure: relaxed

The structure in extended XYZ format:
```
9
Lattice="6.8053 0.0000 0.0000 -3.4026 5.8935 0.0000 0.0000 0.0000 4.2758" Properties=species:S:1:pos:R:3 pbc="T T T"
Ac 0.0000 0.0000 0.0000
Pm 0.0000 3.9290 0.0000
Pm 3.4026 1.9645 0.0000
Co -1.1437 1.9809 2.1379
Co -2.2589 3.9126 2.1379
Co 2.2874 0.0000 2.1379
Co 1.1437 1.9809 2.1379
Co 4.5179 0.0000 2.1379
Co 2.2589 3.9126 2.1379
```

- Electronic total energy: -6.297 eV per atom

=====

# 4
Compound: Pu2NpScSe4
Source: Alexandria via LeMat-Bulk
Functional: GGA-PBE
Structure: relaxed

The structure in extended XYZ format:
```
8
Lattice="7.0421 0.0000 0.0000 0.0000 4.0643 0.0000 -2.3366 0.0000 6.6734" Properties=species:S:1:pos:R:3 pbc="T T T"
Pu 0.0000 0.0000 0.0000
Pu 3.5210 2.0321 0.0000
Np -1.1683 2.0321 3.3367
Sc 2.3527 0.0000 3.3367
Se 0.0618 0.0000 4.9554
Se 1.2317 2.0321 1.7565
Se 3.4738 2.0321 4.9169
Se 4.6436 0.0000 1.7180
```

- Electronic total energy: -9.153 eV per atom

=====

# 5
Compound: Li5Si2BiO8
Source: Alexandria via LeMat-Bulk
Functional: GGA-PBE
Structure: relaxed

The structure in extended XYZ format:
```
16
Lattice="3.7624 -3.9394 0.0000 3.7624 3.9394 0.0000 -0.1637 0.0000 6.4562" Properties=species:S:1:pos:R:3 pbc="T T T"
Li 0.0000 0.0000 0.0000
Li 3.7624 1.1737 0.0000
Li 2.4156 -1.4670 1.4057
Li 4.9455 -1.4670 5.0505
Li 3.6805 -3.6729 3.2281
Si 2.3432 -1.4533 4.9151
Si 5.0178 -1.4533 1.5411
Bi 3.6805 1.1173 3.2281
O 1.2643 -1.4666 6.1314
O 1.5610 -1.2377 3.4171
O 3.3717 -0.1268 5.0409
O 3.9894 -0.1268 1.4153
O 3.3440 -2.7393 4.8651
O 4.0170 -2.7393 1.5911
O 5.8001 -1.2377 3.0391
O 6.0968 -1.4666 0.3248
```

- Electronic total energy: -6.219 eV per atom

=====

# 6
Compound: Fe2NiGe2
Source: Alexandria via LeMat-Bulk
Functional: GGA-PBE
Structure: relaxed

The structure in extended XYZ format:
```
10
Lattice="6.7744 0.0000 0.0000 0.0000 6.7744 0.0000 0.0000 0.0000 2.7615" Properties=species:S:1:pos:R:3 pbc="T T T"
Fe 0.8705 2.5167 0.0000
Fe 2.5167 5.9039 0.0000
Fe 4.2577 0.8705 0.0000
Fe 5.9039 4.2577 0.0000
Ni 0.0000 0.0000 0.0000
Ni 3.3872 3.3872 0.0000
Ge 1.1559 4.5431 1.3807
Ge 2.2313 1.1559 1.3807
Ge 4.5431 5.6185 1.3807
Ge 5.6185 2.2313 1.3807
```

- Electronic total energy: -6.304 eV per atom

=====

# 7
Compound: NiMoSeN2
Source: Alexandria via LeMat-Bulk
Functional: GGA-PBE
Structure: relaxed

The structure in extended XYZ format:
```
5
Lattice="3.8334 0.0000 0.0000 0.0000 3.8334 0.0000 0.0000 0.0000 5.3831" Properties=species:S:1:pos:R:3 pbc="T T T"
Ni 0.0000 0.0000 0.0000
Mo 1.9167 1.9167 2.6915
Se 1.9167 1.9167 0.0000
N 0.0000 1.9167 2.6915
N 1.9167 0.0000 2.6915
```

- Electronic total energy: -6.709 eV per atom
- Polymorph energy (0 for the lowest one): 0.00 eV per formula unit

=====

# 8
Compound: CeHfCo2P2
Source: Alexandria via LeMat-Bulk
Functional: GGA-PBE
Structure: relaxed

The structure in extended XYZ format:
```
6
Lattice="3.8347 0.0000 0.0000 -1.9174 3.3210 0.0000 0.0000 0.0000 7.4107" Properties=species:S:1:pos:R:3 pbc="T T T"
Ce 0.0000 0.0000 0.0000
Hf 0.0000 0.0000 3.7053
Co 0.0000 2.2140 5.4956
Co 1.9174 1.1070 1.9151
P 0.0000 2.2140 2.0510
P 1.9174 1.1070 5.3597
```

- Electronic total energy: -7.862 eV per atom

=====

# 9
Compound: LaPr2Dy7
Source: Alexandria via LeMat-Bulk
Functional: GGA-PBE
Structure: relaxed

The structure in extended XYZ format:
```
10
Lattice="4.3163 -8.4864 0.0000 4.3163 8.4864 0.0000 0.0000 0.0000 5.4263" Properties=species:S:1:pos:R:3 pbc="T T T"
La 0.0000 0.0000 0.0000
Pr 4.3163 3.4399 2.7132
Pr 4.3163 -3.4399 2.7132
Dy 1.5367 1.8828 2.7132
Dy 4.3163 4.9542 0.0000
Dy 1.5367 -1.8828 2.7132
Dy 4.3163 0.0000 2.7132
Dy 7.0958 1.8828 2.7132
Dy 4.3163 -4.9542 0.0000
Dy 7.0958 -1.8828 2.7132
```

- Electronic total energy: -4.002 eV per atom
- Polymorph energy (0 for the lowest one): 6.47 eV per formula unit

=====

# 10
Compound: ScBeTl
Source: Alexandria via LeMat-Bulk
Functional: GGA-PBE
Structure: relaxed

The structure in extended XYZ format:
```
6
Lattice="4.1727 0.0000 0.0000 0.0000 4.1727 0.0000 0.0000 0.0000 6.9154" Properties=species:S:1:pos:R:3 pbc="T T T"
Sc 1.0432 1.0432 1.0250
Sc 3.1296 3.1296 5.8904
Be 1.0432 1.0432 5.2564
Be 3.1296 3.1296 1.6590
Tl 1.0432 3.1296 3.4577
Tl 3.1296 1.0432 3.4577
```

- Electronic total energy: -3.887 eV per atom
- Polymorph energy (0 for the lowest one): 1.03 eV per formula unit

=====

# 11
Compound: LiPrYTc
Source: Alexandria via LeMat-Bulk
Functional: GGA-PBE
Structure: relaxed

The structure in extended XYZ format:
```
4
Lattice="0.0000 3.5580 3.5580 3.5580 0.0000 3.5580 3.5580 3.5580 0.0000" Properties=species:S:1:pos:R:3 pbc="T T T"
Li 0.0000 0.0000 0.0000
Pr 1.7790 1.7790 1.7790
Y 5.3370 5.3370 5.3370
Tc 3.5580 3.5580 3.5580
```

- Electronic total energy: -5.829 eV per atom

=====

# 12
Compound: SnBAu2
Source: Alexandria via LeMat-Bulk
Functional: GGA-PBE
Structure: relaxed

The structure in extended XYZ format:
```
4
Lattice="0.0000 3.3162 3.3162 3.3162 0.0000 3.3162 3.3162 3.3162 0.0000" Properties=species:S:1:pos:R:3 pbc="T T T"
Sn 0.0000 0.0000 0.0000
B 3.3162 3.3162 3.3162
Au 1.6581 1.6581 1.6581
Au 4.9743 4.9743 4.9743
```

- Electronic total energy: -3.447 eV per atom
- Polymorph energy (0 for the lowest one): 1.96 eV per formula unit

=====

# 13
Compound: MgZr2Zn2
Source: Alexandria via LeMat-Bulk
Functional: GGA-PBE
Structure: relaxed

The structure in extended XYZ format:
```
5
Lattice="2.1430 -6.9454 0.0000 2.1430 6.9454 0.0000 0.0000 0.0000 3.2503" Properties=species:S:1:pos:R:3 pbc="T T T"
Mg 0.0000 0.0000 0.0000
Zr 2.1430 1.7116 1.6251
Zr 2.1430 -1.7116 1.6251
Zn 2.1430 4.1662 0.0000
Zn 2.1430 -4.1662 0.0000
```

- Electronic total energy: -4.417 eV per atom

=====

# 14
Compound: BaZrCr2
Source: Alexandria via LeMat-Bulk
Functional: GGA-PBE
Structure: relaxed

The structure in extended XYZ format:
```
4
Lattice="1.6702 0.9643 9.9887 -1.6702 0.9643 9.9887 0.0000 -1.9285 9.9887" Properties=species:S:1:pos:R:3 pbc="T T T"
Ba 0.0000 0.0000 0.0000
Zr 0.0000 0.0000 14.9830
Cr 0.0000 0.0000 7.1116
Cr 0.0000 0.0000 22.8545
```

- Electronic total energy: -6.485 eV per atom
- Polymorph energy (0 for the lowest one): 1.51 eV per formula unit

=====

# 15
Compound: K2BaSc
Source: Alexandria via LeMat-Bulk
Functional: GGA-PBE
Structure: relaxed

The structure in extended XYZ format:
```
4
Lattice="3.9474 0.0000 0.0000 0.0000 7.2452 0.0000 -0.5278 0.0000 6.9709" Properties=species:S:1:pos:R:3 pbc="T T T"
K 0.8179 0.0000 1.8429
K 2.6017 0.0000 5.1280
Ba 1.9737 3.6226 0.0000
Sc -0.2639 3.6226 3.4855
```

- Electronic total energy: -2.129 eV per atom
- Polymorph energy (0 for the lowest one): 0.49 eV per formula unit

=====

# 16
Compound: HgMoSe
Source: Alexandria via LeMat-Bulk
Functional: GGA-PBE
Structure: relaxed

The structure in extended XYZ format:
```
3
Lattice="4.8631 0.0000 0.0000 -2.4316 4.2116 0.0000 0.0000 0.0000 2.7499" Properties=species:S:1:pos:R:3 pbc="T T T"
Hg 0.0000 0.0000 0.0000
Mo 2.4316 1.4039 1.3749
Se 0.0000 2.8077 1.3749
```

- Electronic total energy: -4.284 eV per atom
- Polymorph energy (0 for the lowest one): 1.85 eV per formula unit

=====

# 17
Compound: BaNaAgBr4
Source: Alexandria via LeMat-Bulk
Functional: GGA-PBE
Structure: relaxed

The structure in extended XYZ format:
```
14
Lattice="-4.3340 4.6683 6.2016 4.3340 -4.6683 6.2016 4.3340 4.6683 -6.2016" Properties=species:S:1:pos:R:3 pbc="T T T"
Ba 0.0000 0.0000 0.0000
Ba 0.0000 4.6683 0.0000
Na -2.1670 2.3341 3.1008
Na 2.1670 2.3341 3.1008
Ag 4.3340 2.3341 -1.8485
Ag 0.0000 2.3341 8.0501
Br 2.2185 2.3341 0.0719
Br 4.3340 0.1388 2.9848
Br 6.4496 2.3341 0.0719
Br 0.0000 0.1388 3.2169
Br 4.3340 4.5295 2.9848
Br -2.1156 2.3341 6.1298
Br 0.0000 4.5295 3.2169
Br 2.1156 2.3341 6.1298
```

- Electronic total energy: -3.259 eV per atom

=====

# 18
Compound: ZrGeSO2
Source: Alexandria via LeMat-Bulk
Functional: GGA-PBE
Structure: relaxed

The structure in extended XYZ format:
```
5
Lattice="3.9811 0.0000 0.0000 0.0000 3.9811 0.0000 0.0000 0.0000 6.7905" Properties=species:S:1:pos:R:3 pbc="T T T"
Zr 0.0000 0.0000 0.0000
Ge 0.0000 0.0000 3.3952
S 1.9906 1.9906 3.3952
O 0.0000 1.9906 0.0000
O 1.9906 0.0000 0.0000
```

- Electronic total energy: -6.614 eV per atom

=====

# 19
Compound: LiCdSeN2
Source: Alexandria via LeMat-Bulk
Functional: GGA-PBE
Structure: relaxed

The structure in extended XYZ format:
```
5
Lattice="4.1179 0.0000 0.0000 0.0000 4.1179 0.0000 0.0000 0.0000 4.4272" Properties=species:S:1:pos:R:3 pbc="T T T"
Li 0.0000 0.0000 0.0000
Cd 2.0590 2.0590 0.0000
Se 0.0000 0.0000 2.2136
N 0.0000 2.0590 2.2136
N 2.0590 0.0000 2.2136
```

- Electronic total energy: -3.330 eV per atom
- Polymorph energy (0 for the lowest one): 0.00 eV per formula unit

=====

# 20
Compound: KCa2Ni
Source: Alexandria via LeMat-Bulk
Functional: GGA-PBE
Structure: relaxed

The structure in extended XYZ format:
```
4
Lattice="3.6226 0.0000 0.0000 0.0000 3.6226 0.0000 0.0000 0.0000 10.4978" Properties=species:S:1:pos:R:3 pbc="T T T"
K 0.0000 0.0000 0.0000
Ca 1.8113 1.8113 3.6316
Ca 1.8113 1.8113 6.8662
Ni 0.0000 0.0000 5.2489
```

- Electronic total energy: -2.647 eV per atom
- Polymorph energy (0 for the lowest one): 0.04 eV per formula unit